{
  "formula": "Li4AlZnHg2",
  "functional": "PBE-GGA",
  "state": "optimized geometry",
  "lattice_angstrom": [[4.519, 0.000, 0.000], [0.000, 4.519, 0.000], [0.000, 0.000, 6.406]],
  "species": ["Li", "Al", "Li", "Hg", "Li", "Zn", "Hg", "Li"],
  "fractional_positions": [[0.500, 0.000, 0.260], [0.000, 0.000, 0.000], [0.500, 0.500, 0.000], [0.500, 0.000, 0.753], [0.000, 0.000, 0.500], [0.500, 0.500, 0.500], [0.000, 0.500, 0.247], [0.000, 0.500, 0.740]],
  "rho_g_cm3": 6.62,
  "total_energy_ev_per_cell": -15.5,
  "crystal_system": "tetragonal"
}



{
  "formula": "LuAlHg",
  "functional": "PBE-GGA",
  "state": "optimized geometry",
  "lattice_angstrom": [[4.393, -1.548, 0.385], [1.667, -1.287, 4.173], [0.818, -4.513, 0.899]],
  "species": ["Al", "Hg", "Lu"],
  "fractional_positions": [[0.250, 0.250, 0.250], [0.000, 0.000, 0.000], [0.750, 0.750, 0.750]],
  "rho_g_cm3": 9.26,
  "polymorph_energy_ev_per_atom": 0.0000,
  "total_energy_ev_per_cell": -9.5,
  "crystal_system": "cubic"
}



{
  "formula": "LuAlHg2",
  "functional": "PBE-GGA",
  "state": "optimized geometry",
  "lattice_angstrom": [[3.994, -1.219, -2.768], [2.491, -4.246, 0.930], [-0.263, -3.818, -3.233]],
  "species": ["Lu", "Al", "Hg", "Hg"],
  "fractional_positions": [[0.250, 0.250, 0.250], [0.500, 0.500, 0.500], [0.750, 0.750, 0.750], [0.000, 0.000, 0.000]],
  "rho_g_cm3": 11.26,
  "total_energy_ev_per_cell": -9.3,
  "crystal_system": "cubic"
}



{
  "formula": "MgAlNiHg",
  "functional": "PBE-GGA",
  "state": "optimized geometry",
  "lattice_angstrom": [[-0.599, -4.454, -0.341], [-0.965, -2.432, 3.670], [-4.114, -1.766, 0.515]],
  "species": ["Mg", "Al", "Ni", "Hg"],
  "fractional_positions": [[0.500, 0.500, 0.500], [0.000, 0.000, 0.000], [0.750, 0.750, 0.750], [0.250, 0.250, 0.250]],
  "rho_g_cm3": 7.97,
  "polymorph_energy_ev_per_atom": 0.0000,
  "total_energy_ev_per_cell": -11.5,
  "crystal_system": "cubic"
}



{
  "formula": "Tm3Mg3AlTlHg",
  "functional": "PBE-GGA",
  "state": "optimized geometry",
  "lattice_angstrom": [[-4.387, 5.774, 1.533], [-0.610, -6.262, 3.919], [3.040, 1.533, 2.923]],
  "species": ["Mg", "Tm", "Al", "Tl", "Mg", "Tm", "Tm", "Hg", "Mg"],
  "fractional_positions": [[0.427, 0.088, 0.500], [0.248, 0.343, 0.000], [0.333, 0.667, 0.500], [0.000, 0.000, 0.500], [0.912, 0.339, 0.500], [0.657, 0.905, 0.000], [0.095, 0.752, 0.000], [0.667, 0.333, 0.000], [0.661, 0.573, 0.500]],
  "rho_g_cm3": 7.87,
  "total_energy_ev_per_cell": -27.5,
  "crystal_system": "hexagonal"
}



{
  "formula": "Tm3Mg3AlHg2",
  "functional": "PBE-GGA",
  "state": "optimized geometry",
  "lattice_angstrom": [[-0.178, -7.701, -0.400], [5.708, 3.533, 3.799], [-2.231, -0.129, 3.471]],
  "species": ["Hg", "Tm", "Tm", "Mg", "Al", "Mg", "Mg", "Hg", "Tm"],
  "fractional_positions": [[0.667, 0.333, 0.500], [0.000, 0.590, 0.000], [0.590, 0.000, 0.000], [0.000, 0.248, 0.500], [0.000, 0.000, 0.000], [0.248, 0.000, 0.500], [0.752, 0.752, 0.500], [0.333, 0.667, 0.500], [0.410, 0.410, 0.000]],
  "rho_g_cm3": 7.87,
  "total_energy_ev_per_cell": -25.4,
  "crystal_system": "hexagonal"
}



{
  "formula": "Tm3Mg3Al2Hg",
  "functional": "PBE-GGA",
  "state": "optimized geometry",
  "lattice_angstrom": [[-4.342, 2.773, 5.282], [-2.956, -3.819, -5.578], [0.441, -3.735, 2.324]],
  "species": ["Tm", "Al", "Mg", "Mg", "Tm", "Mg", "Tm", "Hg", "Al"],
  "fractional_positions": [[0.425, 0.425, 0.000], [0.667, 0.333, 0.500], [0.000, 0.246, 0.500], [0.754, 0.754, 0.500], [0.000, 0.575, 0.000], [0.246, 0.000, 0.500], [0.575, 0.000, 0.000], [0.000, 0.000, 0.000], [0.333, 0.667, 0.500]],
  "rho_g_cm3": 6.65,
  "total_energy_ev_per_cell": -28.9,
  "crystal_system": "hexagonal"
}



{
  "formula": "Y3Mg3Al2Hg",
  "functional": "PBE-GGA",
  "state": "optimized geometry",
  "lattice_angstrom": [[7.467, 0.000, 0.000], [-3.734, 6.467, 0.000], [0.000, 0.000, 4.447]],
  "species": ["Al", "Hg", "Y", "Y", "Mg", "Y", "Mg", "Al", "Mg"],
  "fractional_positions": [[0.333, 0.667, 0.500], [0.000, 0.000, 0.000], [0.000, 0.424, 0.000], [0.424, 0.000, 0.000], [0.000, 0.754, 0.500], [0.576, 0.576, 0.000], [0.754, 0.000, 0.500], [0.667, 0.333, 0.500], [0.246, 0.246, 0.500]],
  "rho_g_cm3": 4.59,
  "total_energy_ev_per_cell": -35.3,
  "crystal_system": "hexagonal"
}



{
  "formula": "AlHg2Mo",
  "functional": "PBE-GGA",
  "state": "optimized geometry",
  "lattice_angstrom": [[3.893, -0.463, 2.631], [1.669, 3.696, 2.418], [-0.311, 0.074, 4.711]],
  "species": ["Mo", "Hg", "Hg", "Al"],
  "fractional_positions": [[0.250, 0.250, 0.250], [0.750, 0.750, 0.750], [0.000, 0.000, 0.000], [0.500, 0.500, 0.500]],
  "rho_g_cm3": 11.69,
  "total_energy_ev_per_cell": -12.6,
  "crystal_system": "cubic"
}



{
  "formula": "Al2HgMo",
  "functional": "PBE-GGA",
  "state": "optimized geometry",
  "lattice_angstrom": [[-0.104, -4.593, 0.109], [-0.490, -2.192, 4.009], [-3.926, -2.187, 0.958]],
  "species": ["Al", "Al", "Hg", "Mo"],
  "fractional_positions": [[0.000, 0.000, 0.000], [0.750, 0.750, 0.750], [0.500, 0.500, 0.500], [0.250, 0.250, 0.250]],
  "rho_g_cm3": 8.48,
  "total_energy_ev_per_cell": -16.6,
  "crystal_system": "cubic"
}



{
  "formula": "AlHgMo",
  "functional": "PBE-GGA",
  "state": "optimized geometry",
  "lattice_angstrom": [[-3.322, -0.088, 2.806], [-3.129, 3.013, -0.238], [-3.978, -1.100, -1.373]],
  "species": ["Hg", "Al", "Mo"],
  "fractional_positions": [[0.250, 0.250, 0.250], [0.000, 0.000, 0.000], [0.750, 0.750, 0.750]],
  "rho_g_cm3": 9.23,
  "total_energy_ev_per_cell": -12.9,
  "crystal_system": "cubic"
}



{
  "formula": "AlNiHgMo",
  "functional": "PBE-GGA",
  "state": "optimized geometry",
  "lattice_angstrom": [[0.000, 3.169, 3.169], [3.169, 0.000, 3.169], [3.169, 3.169, 0.000]],
  "species": ["Mo", "Ni", "Hg", "Al"],
  "fractional_positions": [[0.500, 0.500, 0.500], [0.750, 0.750, 0.750], [0.250, 0.250, 0.250], [0.000, 0.000, 0.000]],
  "rho_g_cm3": 9.97,
  "polymorph_energy_ev_per_atom": 0.0707,
  "total_energy_ev_per_cell": -18.9,
  "crystal_system": "cubic"
}



{
  "formula": "AlNiHgMo",
  "functional": "PBE-GGA",
  "state": "optimized geometry",
  "lattice_angstrom": [[2.837, 1.128, 3.262], [-0.613, -1.573, 4.136], [2.808, -3.047, 1.670]],
  "species": ["Mo", "Ni", "Hg", "Al"],
  "fractional_positions": [[0.250, 0.250, 0.250], [0.750, 0.750, 0.750], [0.500, 0.500, 0.500], [0.000, 0.000, 0.000]],
  "rho_g_cm3": 10.07,
  "polymorph_energy_ev_per_atom": 0.0000,
  "total_energy_ev_per_cell": -19.2,
  "crystal_system": "cubic"
}



{
  "formula": "AlHgNO",
  "functional": "PBE-GGA",
  "state": "optimized geometry",
  "lattice_angstrom": [[-3.995, -2.682, 2.407], [1.718, -4.729, -2.417], [4.415, -1.365, 5.807]],
  "species": ["N", "Al", "Al", "Hg", "Hg", "O", "O", "Al", "O", "Al", "O", "N", "Hg", "Hg", "N", "N"],
  "fractional_positions": [[0.577, 0.964, 0.159], [0.032, 0.599, 0.397], [0.032, 0.099, 0.603], [0.896, 0.185, 0.123], [0.396, 0.315, 0.123], [0.197, 0.375, 0.538], [0.697, 0.625, 0.462], [0.532, 0.401, 0.603], [0.197, 0.875, 0.462], [0.532, 0.901, 0.397], [0.697, 0.125, 0.538], [0.077, 0.536, 0.159], [0.896, 0.685, 0.877], [0.396, 0.815, 0.877], [0.577, 0.464, 0.841], [0.077, 0.036, 0.841]],
  "rho_g_cm3": 7.68,
  "polymorph_energy_ev_per_atom": 0.0665,
  "total_energy_ev_per_cell": -83.5,
  "crystal_system": "orthorhombic"
}



{
  "formula": "AlHgNO",
  "functional": "PBE-GGA",
  "state": "optimized geometry",
  "lattice_angstrom": [[3.949, 0.000, 0.000], [0.000, 3.949, 0.000], [0.000, 0.000, 7.019]],
  "species": ["O", "O", "N", "Al", "Al", "N", "Hg", "Hg"],
  "fractional_positions": [[0.500, 0.500, 0.000], [0.000, 0.000, 0.000], [0.000, 0.500, 0.507], [0.500, 0.500, 0.500], [0.000, 0.000, 0.500], [0.500, 0.000, 0.493], [0.500, 0.000, 0.846], [0.000, 0.500, 0.154]],
  "rho_g_cm3": 7.81,
  "polymorph_energy_ev_per_atom": 0.6891,
  "total_energy_ev_per_cell": -36.8,
  "crystal_system": "tetragonal"
}



{
  "formula": "AlHgNO",
  "functional": "PBE-GGA",
  "state": "optimized geometry",
  "lattice_angstrom": [[-1.614, -2.796, 0.000], [0.000, 0.000, 5.563], [-5.259, 3.036, 0.000]],
  "species": ["Hg", "Hg", "O", "Al", "N", "N", "O", "Al"],
  "fractional_positions": [[0.000, 0.037, 0.615], [0.000, 0.537, 0.385], [0.500, 0.816, 0.888], [0.500, 0.994, 0.134], [0.000, 0.407, 0.726], [0.000, 0.907, 0.274], [0.500, 0.316, 0.112], [0.500, 0.494, 0.866]],
  "rho_g_cm3": 7.84,
  "polymorph_energy_ev_per_atom": 0.0000,
  "total_energy_ev_per_cell": -42.3,
  "crystal_system": "orthorhombic"
}



{
  "formula": "AlHgNO",
  "functional": "PBE-GGA",
  "state": "optimized geometry",
  "lattice_angstrom": [[-1.606, -2.782, 0.000], [0.000, 0.000, 5.667], [-5.219, 3.013, 0.000]],
  "species": ["N", "N", "Hg", "Hg", "O", "Al", "Al", "O"],
  "fractional_positions": [[0.000, 0.331, 0.608], [0.000, 0.831, 0.392], [0.500, 0.483, 0.824], [0.500, 0.983, 0.176], [0.500, 0.934, 0.790], [0.000, 0.007, 0.650], [0.000, 0.507, 0.350], [0.500, 0.434, 0.210]],
  "rho_g_cm3": 7.80,
  "polymorph_energy_ev_per_atom": 0.1217,
  "total_energy_ev_per_cell": -41.3,
  "crystal_system": "orthorhombic"
}



{
  "formula": "AlHgNO",
  "functional": "PBE-GGA",
  "state": "optimized geometry",
  "lattice_angstrom": [[5.724, 0.000, 0.000], [0.000, 6.960, 0.000], [0.000, 0.000, 5.348]],
  "species": ["Hg", "Al", "Al", "N", "O", "N", "O", "Al", "O", "O", "Hg", "Al", "N", "Hg", "N", "Hg"],
  "fractional_positions": [[0.951, 0.652, 0.523], [0.908, 0.107, 0.489], [0.408, 0.893, 0.489], [0.610, 0.075, 0.636], [0.025, 0.341, 0.555], [0.110, 0.925, 0.636], [0.525, 0.659, 0.555], [0.592, 0.107, 0.989], [0.475, 0.341, 0.055], [0.975, 0.659, 0.055], [0.451, 0.348, 0.523], [0.092, 0.893, 0.989], [0.890, 0.075, 0.136], [0.049, 0.348, 0.023], [0.390, 0.925, 0.136], [0.549, 0.652, 0.023]],
  "rho_g_cm3": 8.03,
  "polymorph_energy_ev_per_atom": 0.0573,
  "total_energy_ev_per_cell": -83.6,
  "crystal_system": "orthorhombic"
}



{
  "formula": "AlHgNO",
  "functional": "PBE-GGA",
  "state": "optimized geometry",
  "lattice_angstrom": [[3.863, 0.000, 0.000], [0.000, 3.863, 0.000], [0.000, 0.000, 7.485]],
  "species": ["Al", "Hg", "N", "Hg", "O", "Al", "O", "N"],
  "fractional_positions": [[0.750, 0.750, 0.081], [0.250, 0.750, 0.500], [0.250, 0.250, 0.679], [0.750, 0.250, 0.500], [0.750, 0.250, 0.000], [0.250, 0.250, 0.919], [0.250, 0.750, 0.000], [0.750, 0.750, 0.321]],
  "rho_g_cm3": 7.66,
  "polymorph_energy_ev_per_atom": 0.3225,
  "total_energy_ev_per_cell": -39.7,
  "crystal_system": "tetragonal"
}



{
  "formula": "NaAlHg",
  "functional": "PBE-GGA",
  "state": "optimized geometry",
  "lattice_angstrom": [[-2.356, -4.111, -0.243], [-4.708, -0.074, 0.583], [-2.834, -0.895, -3.698]],
  "species": ["Na", "Al", "Hg"],
  "fractional_positions": [[0.750, 0.750, 0.750], [0.250, 0.250, 0.250], [0.000, 0.000, 0.000]],
  "rho_g_cm3": 5.51,
  "polymorph_energy_ev_per_atom": 0.0000,
  "total_energy_ev_per_cell": -5.1,
  "crystal_system": "cubic"
}



{
  "formula": "Na6AlHg",
  "functional": "PBE-GGA",
  "state": "optimized geometry",
  "lattice_angstrom": [[-5.815, -1.075, -3.201], [1.936, -4.137, 4.936], [-2.598, 3.153, 3.661]],
  "species": ["Na", "Na", "Na", "Na", "Al", "Hg", "Na", "Na"],
  "fractional_positions": [[0.014, 0.507, 0.500], [0.839, 0.677, 0.000], [0.323, 0.161, 0.000], [0.493, 0.507, 0.500], [0.333, 0.667, 0.000], [0.000, 0.000, 0.500], [0.493, 0.986, 0.500], [0.839, 0.161, 0.000]],
  "rho_g_cm3": 2.83,
  "total_energy_ev_per_cell": -11.8,
  "crystal_system": "hexagonal"
}



{
  "formula": "NbAlNiHg",
  "functional": "PBE-GGA",
  "state": "optimized geometry",
  "lattice_angstrom": [[0.000, 3.197, 3.197], [3.197, 0.000, 3.197], [3.197, 3.197, 0.000]],
  "species": ["Ni", "Hg", "Al", "Nb"],
  "fractional_positions": [[0.750, 0.750, 0.750], [0.250, 0.250, 0.250], [0.000, 0.000, 0.000], [0.500, 0.500, 0.500]],
  "rho_g_cm3": 9.63,
  "polymorph_energy_ev_per_atom": 0.0000,
  "total_energy_ev_per_cell": -19.0,
  "crystal_system": "cubic"
}



{
  "formula": "NbAlNiHg",
  "functional": "PBE-GGA",
  "state": "optimized geometry",
  "lattice_angstrom": [[0.000, 3.197, 3.197], [3.197, 0.000, 3.197], [3.197, 3.197, 0.000]],
  "species": ["Hg", "Nb", "Al", "Ni"],
  "fractional_positions": [[0.500, 0.500, 0.500], [0.250, 0.250, 0.250], [0.000, 0.000, 0.000], [0.750, 0.750, 0.750]],
  "rho_g_cm3": 9.63,
  "polymorph_energy_ev_per_atom": 0.0220,
  "total_energy_ev_per_cell": -19.0,
  "crystal_system": "cubic"
}



{
  "formula": "Nd2Al5Hg",
  "functional": "PBE-GGA",
  "state": "optimized geometry",
  "lattice_angstrom": [[4.660, 0.000, 0.000], [0.000, 3.326, 5.648], [0.000, -3.326, 5.648]],
  "species": ["Al", "Al", "Hg", "Al", "Al", "Nd", "Al", "Nd"],
  "fractional_positions": [[0.500, 0.144, 0.144], [0.000, 0.287, 0.863], [0.000, 0.845, 0.845], [0.500, 0.722, 0.143], [0.500, 0.143, 0.722], [0.500, 0.660, 0.660], [0.000, 0.863, 0.287], [0.000, 0.337, 0.337]],
  "rho_g_cm3": 5.92,
  "total_energy_ev_per_cell": -31.7,
  "crystal_system": "orthorhombic"
}



{
  "formula": "NdAlHg2",
  "functional": "PBE-GGA",
  "state": "optimized geometry",
  "lattice_angstrom": [[4.858, 0.000, 0.000], [0.000, 5.796, 3.373], [0.000, -5.796, 3.373]],
  "species": ["Hg", "Al", "Nd", "Hg", "Nd", "Hg", "Hg", "Al"],
  "fractional_positions": [[0.250, 0.843, 0.677], [0.750, 0.157, 0.300], [0.750, 0.659, 0.330], [0.750, 0.677, 0.843], [0.250, 0.330, 0.659], [0.750, 0.174, 0.859], [0.250, 0.859, 0.174], [0.250, 0.300, 0.157]],
  "rho_g_cm3": 10.01,
  "total_energy_ev_per_cell": -21.0,
  "crystal_system": "orthorhombic"
}



{
  "formula": "NdAlHg2",
  "functional": "PBE-GGA",
  "state": "optimized geometry",
  "lattice_angstrom": [[-2.912, 2.792, -2.712], [-5.262, -3.739, 1.801], [-3.500, 1.662, 5.468]],
  "species": ["Nd", "Al", "Hg", "Al", "Hg", "Nd", "Hg", "Hg"],
  "fractional_positions": [[0.500, 0.668, 0.668], [0.500, 0.145, 0.707], [0.000, 0.321, 0.825], [0.500, 0.707, 0.145], [0.000, 0.841, 0.841], [0.000, 0.334, 0.334], [0.000, 0.825, 0.321], [0.500, 0.160, 0.160]],
  "rho_g_cm3": 10.00,
  "total_energy_ev_per_cell": -21.0,
  "crystal_system": "orthorhombic"
}